(1)
Below is KPuInCl6 after structural relaxation, with properties calculated at the PBE level.

Cell lengths 6.9217, 6.9217, 13.4225 Å; angles 90.00, 90.00, 90.00 degrees
With the nearest neighbours (Å) after each atom.
Positions (direct):
Cl (0.1863, 0.8137, 0.4741)  1 Pu 2.62
Cl (0.7673, 0.2327, 0.8369)  1 Pu 2.62
Cl (0.6785, 0.6785, 0.6873)  1 Pu 2.63
Cl (0.7327, 0.7327, 0.3369)  1 Pu 2.62
Cl (0.2673, 0.2673, 0.3369)  1 Pu 2.62
Cl (0.2327, 0.7673, 0.8369)  1 Pu 2.62
Cl (0.3137, 0.3137, 0.9741)  1 Pu 2.62
Cl (0.8137, 0.1863, 0.4741)  1 Pu 2.62
Cl (0.6863, 0.6863, 0.9741)  1 Pu 2.62
Cl (0.1785, 0.8215, 0.1873)  1 Pu 2.63
Cl (0.3215, 0.3215, 0.6873)  1 Pu 2.63
Cl (0.8215, 0.1785, 0.1873)  1 Pu 2.63
K (0.5000, 0.5000, 0.1692)  6 Cl 3.16-3.20
K (0.0000, 0.0000, 0.6692)  6 Cl 3.16-3.20
Pu (0.0000, 0.0000, 0.3338)  6 Cl 2.62-2.63
Pu (0.5000, 0.5000, 0.8338)  6 Cl 2.62-2.63
In (0.0000, 0.0000, 0.0005)  6 Cl 3.06-3.16
In (0.5000, 0.5000, 0.5005)  6 Cl 3.06-3.16

Results
Space-group type   P4_2nm
Final energy   -4.842 eV/atom



(2)
Below is LiPrGdPd after structural relaxation, with properties calculated at the PBE level.

Cell lengths 5.1527, 5.1527, 5.1527 Å; angles 60.00, 60.00, 60.00 degrees
With the nearest neighbours (Å) after each atom.
Positions (direct):
Pr (0.2500, 0.2500, 0.2500)  4 Li 3.16, 4 Pd 3.16
Gd (0.7500, 0.7500, 0.7500)  4 Li 3.16, 4 Pd 3.16
Pd (0.5000, 0.5000, 0.5000)  4 Gd 3.16, 4 Pr 3.16
Li (0.0000, 0.0000, 0.0000)  4 Pr 3.16, 4 Gd 3.16

Results
Space-group type   F-43m
Formation energy from the elements   -0.34 eV per atom



(3)
Below is Ca4Cu5 after structural relaxation, with properties calculated at the PBE level.

Cell lengths 8.6134, 8.6134, 6.1770 Å; angles 90.00, 90.00, 120.00 degrees
With the nearest neighbours (Å) after each atom.
Positions (direct):
Cu (0.2997, 0.2997, 0.2500)  5 Ca 2.81-3.01
Cu (0.7003, 0.0000, 0.2500)  5 Ca 2.81-3.01
Cu (0.2997, 0.0000, 0.7500)  5 Ca 2.81-3.01
Cu (0.3333, 0.6667, 0.0000)  8 Cu 3.09-3.40, 6 Ca 3.12
Cu (0.0000, 0.2997, 0.7500)  5 Ca 2.81-3.01
Cu (0.7003, 0.7003, 0.7500)  5 Ca 2.81-3.01
Cu (0.3333, 0.6667, 0.5000)  8 Cu 3.09-3.40, 6 Ca 3.12
Cu (0.6667, 0.3333, 0.5000)  8 Cu 3.09-3.40, 6 Ca 3.12
Cu (0.6667, 0.3333, 0.0000)  8 Cu 3.09-3.40, 6 Ca 3.12
Cu (0.0000, 0.7003, 0.2500)  5 Ca 2.81-3.01
Ca (0.0000, 0.6261, 0.7500)  7 Cu 2.81-3.12
Ca (0.0000, 0.0000, 0.5000)  6 Cu 3.01, 2 Ca 3.09
Ca (0.0000, 0.3739, 0.2500)  7 Cu 2.81-3.12
Ca (0.6261, 0.6261, 0.2500)  7 Cu 2.81-3.12
Ca (0.3739, 0.0000, 0.2500)  7 Cu 2.81-3.12
Ca (0.6261, 0.0000, 0.7500)  7 Cu 2.81-3.12
Ca (0.3739, 0.3739, 0.7500)  7 Cu 2.81-3.12
Ca (0.0000, 0.0000, 0.0000)  6 Cu 3.01, 2 Ca 3.09

Results
Space-group type   P6_3/mcm
Formation energy from the elements   0.09 eV per atom
E above lowest polymorph   7.2 meV per atom



(4)
Below is LaRe3Ge after structural relaxation, with properties calculated at the PBE level.

Cell lengths 4.6931, 4.6931, 4.6931 Å; angles 90.00, 90.00, 90.00 degrees
With the nearest neighbours (Å) after each atom.
Positions (direct):
La (0.5000, 0.5000, 0.5000)  12 Re 3.32
Re (0.0000, 0.5000, 0.0000)  2 Ge 2.35
Re (0.5000, 0.0000, 0.0000)  2 Ge 2.35
Re (0.0000, 0.0000, 0.5000)  2 Ge 2.35
Ge (0.0000, 0.0000, 0.0000)  6 Re 2.35

Results
Space-group type   Pm-3m
Formation energy from the elements   1.16 eV per atom
E above lowest polymorph   0.0 meV per atom



(5)
Below is MnNb4Mo2 after structural relaxation, with properties calculated at the PBE level.

Cell lengths 5.4495, 5.4495, 5.4495 Å; angles 108.33, 110.04, 110.04 degrees
With the nearest neighbours (Å) after each atom.
Positions (direct):
Nb (0.5000, 0.0000, 0.0000)  4 Mo 2.72, 2 Mn 2.72
Nb (0.5000, 0.5000, 0.5000)  4 Mo 2.72, 2 Mn 2.72
Nb (0.0000, 0.0000, 0.5000)  2 Mn 2.72, 4 Mo 2.72
Nb (0.0000, 0.5000, 0.0000)  2 Mn 2.72, 4 Mo 2.72
Mn (0.0000, 0.0000, 0.0000)  8 Nb 2.72
Mo (0.5000, 0.5000, 0.0000)  8 Nb 2.72
Mo (0.5000, 0.0000, 0.5000)  8 Nb 2.72

Results
Space-group type   I4/mmm
Formation energy from the elements   0.22 eV per atom



Number 1: M_tot 8.00 μB per cell. Number 2: M_tot 7.19 μB per cell. Number 3: M_tot 0.00 μB per cell. Number 4: M_tot 0.00 μB per cell. Number 5: M_tot 0.00 μB per cell.